Entry P
11
Lattice="-3.3826 2.2583 5.7528 -6.0965 -2.1285 -2.7480 1.7613 -6.6997 1.2838" Properties=species:S:1:pos:R:3 comment="Th7Tc2Sn2 (PBE-GGA, optimized geometry)" magnetic_moment_mub_per_cell=0.0 sg="Cmmm (65)" rho_g_cm3=10.21 pbc="T T T"
Sn -4.3935 -4.7496 4.4649
Sn -3.3242 -1.8202 -0.1762
Th -2.3151 -2.7439 2.8415
Th -6.2131 -0.4516 0.8392
Th -0.6948 -3.8995 -0.0657
Th -5.4026 -3.8260 1.4471
Th 0.0000 0.0000 0.0000
Th -1.5047 -6.1183 3.4495
Th -7.0230 -2.6704 4.3543
Tc -1.9465 -0.2458 4.5032
Tc -5.7712 -6.3241 -0.2145



Entry Q
11
Lattice="-1.4459 -2.4436 2.5749 5.9457 1.5777 7.6887 -3.0623 6.1961 7.0135" Properties=species:S:1:pos:R:3 comment="Th7Tc2Sn2 (PBE-GGA, optimized geometry)" magnetic_moment_mub_per_cell=0.0 sg="Imm2 (44)" rho_g_cm3=10.69 pbc="T T T"
Tc 1.9407 3.8106 13.2647
Tc 1.0442 0.7262 4.1284
Sn -0.5378 3.3093 8.5444
Sn 3.7991 2.6782 7.5278
Th -1.5774 -0.1396 4.6876
Th -1.3633 3.4044 5.3182
Th 1.0473 0.8230 7.0749
Th -1.4721 4.1165 11.6387
Th 1.1948 6.4029 12.4531
Th 2.2125 3.5729 10.3388
Th -3.4786 4.8170 8.3239



Stability ranking, top entry: entry Q; the second entry is 131 meV per atom less favorable.